(1)
! PBE-GGA SiNiPH, optimized geometry; values from VASP
! symmetry = No. 1
! E_tot = -20.2 eV per formula unit
! volume = 13.23 Å³/atom
&SYSTEM
  ibrav = 0, nat = 4, ntyp = 4
/
ATOMIC_SPECIES
Si 28.09 Si.upf
Ni 58.69 Ni.upf
P 30.97 P.upf
H 1.01 H.upf
ATOMIC_POSITIONS crystal
Si 0.000 0.000 0.000
Ni 0.528 0.588 0.822
P 0.563 0.217 0.563
H 0.967 0.900 0.202
CELL_PARAMETERS angstrom
2.668 0.000 0.000
0.000 2.691 0.000
0.427 1.336 7.372

(2)
! PBE-GGA PPt, optimized geometry; values from VASP
! symmetry = No. 223
! E_tot = -11.8 eV per formula unit
! volume = 23.67 Å³/atom
&SYSTEM
  ibrav = 0, nat = 12, ntyp = 2
/
ATOMIC_SPECIES
P 30.97 P.upf
Pt 195.08 Pt.upf
ATOMIC_POSITIONS crystal
P 0.000 0.250 0.500
P 0.000 0.750 0.500
P 0.250 0.500 0.000
P 0.500 0.000 0.250
P 0.500 0.000 0.750
P 0.750 0.500 0.000
Pt 0.000 0.500 0.250
Pt 0.000 0.500 0.750
Pt 0.250 0.000 0.500
Pt 0.500 0.250 0.000
Pt 0.500 0.750 0.000
Pt 0.750 0.000 0.500
CELL_PARAMETERS angstrom
6.574 0.000 0.000
0.000 6.574 0.000
0.000 0.000 6.574

What did the second record say?
! PBE-GGA PPt, optimized geometry; values from VASP
! symmetry = No. 223
! E_tot = -11.8 eV per formula unit
! volume = 23.67 Å³/atom
&SYSTEM
  ibrav = 0, nat = 12, ntyp = 2
/
ATOMIC_SPECIES
P 30.97 P.upf
Pt 195.08 Pt.upf
ATOMIC_POSITIONS crystal
P 0.000 0.250 0.500
P 0.000 0.750 0.500
P 0.250 0.500 0.000
P 0.500 0.000 0.250
P 0.500 0.000 0.750
P 0.750 0.500 0.000
Pt 0.000 0.500 0.250
Pt 0.000 0.500 0.750
Pt 0.250 0.000 0.500
Pt 0.500 0.250 0.000
Pt 0.500 0.750 0.000
Pt 0.750 0.000 0.500
CELL_PARAMETERS angstrom
6.574 0.000 0.000
0.000 6.574 0.000
0.000 0.000 6.574